No. 1
Below is a geometry-optimized In4Hg3Pb structure, with properties calculated at the PBE level.

a = 3.5773 Å, b = 5.4269 Å, c = 11.3054 Å
α = 90.00°, β = 90.00°, γ = 90.00°
Sites, in units of the cell vectors:
In 0.0000 0.0000 0.0000
In 0.0000 0.0000 0.5000
In 0.0000 0.5000 0.2431
In 0.0000 0.5000 0.7569
Hg 0.5000 0.0000 0.2498
Hg 0.5000 0.0000 0.7502
Hg 0.5000 0.5000 0.0000
Pb 0.5000 0.5000 0.5000

For the total energy, the calculation gives -15.42 eV for the cell shown. Its energy of formation from the pure elements is 0.02 eV/atom. The volume comes out at 219.5 Å³/f.u.



No. 2
Below is a geometry-optimized CaPmAgPd structure, with properties calculated at the PBE level.

a = 7.2713 Å, b = 7.2713 Å, c = 7.2713 Å
α = 90.00°, β = 90.00°, γ = 90.00°
Sites, in units of the cell vectors:
Ca 0.0000 0.0000 0.0000
Ca 0.0000 0.5000 0.5000
Ca 0.5000 0.0000 0.5000
Ca 0.5000 0.5000 0.0000
Pm 0.0000 0.0000 0.5000
Pm 0.0000 0.5000 0.0000
Pm 0.5000 0.0000 0.0000
Pm 0.5000 0.5000 0.5000
Ag 0.2500 0.2500 0.2500
Ag 0.2500 0.7500 0.7500
Ag 0.7500 0.2500 0.7500
Ag 0.7500 0.7500 0.2500
Pd 0.2500 0.2500 0.7500
Pd 0.2500 0.7500 0.2500
Pd 0.7500 0.2500 0.2500
Pd 0.7500 0.7500 0.7500

For the total energy, the calculation gives -67.33 eV for the cell shown. Its energy of formation from the pure elements is -0.51 eV/atom. The volume comes out at 96.1 Å³/f.u.